No. 1
Th2TcOs3 | PBE-GGA | relaxed

The density comes out at 16.29 g/cm³. As for the formation energy: -0.225 eV/atom. The crystal system is hexagonal.

Cell lengths 5.4909, 5.4909, 8.8444 Å; angles 90.00, 90.00, 120.00 degrees
Space group P6_3/mmc (No. 194)
One atom of each set of equivalent atoms:
Th 0.3333 0.6667 0.0676 x4
Tc 0.0000 0.0000 0.0000 x2
Os 0.1699 0.3397 0.7500 x6

No. 2
Na2TeAuS4 | PBE-GGA | relaxed

The density comes out at 4.39 g/cm³. The crystal system is monoclinic. Its uncorrected formation energy is -272 kJ/mol of formula units.

Cell lengths 10.484, 10.541, 7.645 Å; angles 90.00, 116.79, 90.00 degrees
Space group C2/c (No. 15)
One atom of each set of equivalent atoms:
Na 0.000 0.000 0.000 x4
Na 0.250 0.250 0.000 x4
Te 0.000 0.500 0.000 x4
Au 0.250 0.250 0.500 x4
S 0.053 0.254 0.580 x8
S 0.224 0.030 0.401 x8

No. 3
LaYGe2Pd5 | PBE-GGA | relaxed

The density comes out at 8.88 g/cm³. As for the formation energy: -0.800 eV/atom. The crystal system is tetragonal.

Cell lengths 4.303, 4.303, 9.141 Å; angles 90.00, 90.00, 90.00 degrees
Space group P4/mmm (No. 123)
One atom of each set of equivalent atoms:
La 0.000 0.000 0.000 x1
Y 0.000 0.000 0.500 x1
Ge 0.500 0.500 0.366 x2
Pd 0.000 0.500 0.231 x4
Pd 0.500 0.500 0.000 x1

No. 4
TbPu2Ir | PBE-GGA | relaxed

The density comes out at 12.19 g/cm³. As for the formation energy: 0.117 eV/atom. The crystal system is trigonal. The value obtained for the offset from the most stable computed form is 0.275 eV/atom.

Cell lengths 3.6483, 3.6483, 29.7463 Å; angles 90.00, 90.00, 120.00 degrees
Space group R-3m (No. 166, hexagonal axes)
One atom of each set of equivalent atoms:
Tb 0.0000 0.0000 0.0000 x3
Pu 0.0000 0.0000 0.1065 x6
Ir 0.0000 0.0000 0.5000 x3

- Which of these has the highest density?
  Th2TcOs3

- Number 1 is which compound?
  Th2TcOs3